A plane-wave DFT calculation with PBE-GGA was carried out for a relaxed structure of PuNpRh14.

Structure (POSCAR):
```
PuNpRh14
1.0
-4.0277 -2.2314 -3.1290
3.7728 -3.1588 -2.6038
-1.0386 -5.6835 5.3901
Pu Np Rh
1 1 14
direct
0.3750 0.3750 0.5000 Pu
0.8750 0.8750 0.5000 Np
0.8750 0.8750 0.0000 Rh
0.3750 0.3750 0.0000 Rh
0.8750 0.3750 0.5000 Rh
0.8750 0.3750 0.0000 Rh
0.3750 0.8750 0.5000 Rh
0.3750 0.8750 0.0000 Rh
0.6273 0.1227 0.2403 Rh
0.6273 0.1227 0.7597 Rh
0.1227 0.6273 0.2403 Rh
0.1227 0.6273 0.7597 Rh
0.6273 0.6273 0.2404 Rh
0.6273 0.6273 0.7596 Rh
0.1227 0.1227 0.2404 Rh
0.1227 0.1227 0.7596 Rh
```

* VASP energy: -132.3 eV/cell
* total moment: 4.7 μB/f.u.
* energy of formation: -134 meV per atom

---

A plane-wave DFT calculation with PBE-GGA was carried out for a relaxed structure of Pu2NpRh.

Structure (POSCAR):
```
Pu2NpRh
1.0
4.9522 0.0000 0.0000
2.4761 4.2887 0.0000
2.4761 1.4296 3.5613
Np Rh Pu
1 1 2
direct
0.0000 0.0000 0.0000 Np
0.5000 0.5000 0.5000 Rh
0.2383 0.2383 0.2852 Pu
0.7617 0.7617 0.7148 Pu
```

* VASP energy: -48.9 eV/cell
* total moment: 6.3 μB/f.u.
* distance to the lowest polymorph of the same formula: 0.015 eV/atom
* energy of formation: 4 meV per atom

---

A plane-wave DFT calculation with PBE-GGA was carried out for a relaxed structure of PuNpRh.

Structure (POSCAR):
```
PuNpRh
1.0
-0.8739 0.9722 3.2295
-1.0629 -3.2455 0.6894
5.4454 0.0004 -0.4059
Np Rh Pu
1 1 1
direct
0.0067 0.0067 0.0135 Np
0.6607 0.6607 0.3215 Rh
0.3325 0.3325 0.6650 Pu
```

* VASP energy: -35.0 eV/cell
* total moment: 8.1 μB/f.u.
* distance to the lowest polymorph of the same formula: 0.061 eV/atom
* energy of formation: -128 meV per atom

---

A plane-wave DFT calculation with PBE-GGA was carried out for a relaxed structure of PuNpRh.

Structure (POSCAR):
```
PuNpRh
1.0
4.8232 0.7860 0.6310
0.6421 4.8445 0.6310
2.2151 2.2820 5.4769
Pu Np Rh
2 2 2
direct
0.1572 0.5696 0.4765 Pu
0.3196 0.4072 0.9765 Pu
0.6015 0.6958 0.0275 Np
0.4458 0.8515 0.5275 Np
0.7898 0.2010 0.5109 Rh
0.9510 0.0398 0.0109 Rh
```

* VASP energy: -70.4 eV/cell
* total moment: 2.2 μB/f.u.
* distance to the lowest polymorph of the same formula: 0.000 eV/atom
* energy of formation: -189 meV per atom

---

A plane-wave DFT calculation with PBE-GGA was carried out for a relaxed structure of PuNpRh.

Structure (POSCAR):
```
PuNpRh
1.0
2.8592 0.0000 0.0000
0.0000 4.6957 0.0000
0.0000 -2.3478 4.0666
Np Rh Pu
1 1 1
direct
0.6102 0.3333 0.6667 Np
0.9928 0.0000 0.0000 Rh
0.3970 0.6667 0.3333 Pu
```

* VASP energy: -35.1 eV/cell
* total moment: 1.9 μB/f.u.
* distance to the lowest polymorph of the same formula: 0.035 eV/atom
* energy of formation: -154 meV per atom

---

A plane-wave DFT calculation with PBE-GGA was carried out for a relaxed structure of PuNpRh2.

Structure (POSCAR):
```
PuNpRh2
1.0
3.4019 0.0000 0.0000
0.0000 3.4019 0.0000
0.0000 0.0000 6.8950
Np Rh Pu
1 2 1
direct
0.5000 0.5000 0.0000 Np
0.0000 0.0000 0.7652 Rh
0.0000 0.0000 0.2348 Rh
0.5000 0.5000 0.5000 Pu
```

* VASP energy: -43.3 eV/cell
* total moment: 8.5 μB/f.u.
* distance to the lowest polymorph of the same formula: 0.000 eV/atom
* energy of formation: -327 meV per atom

---

A plane-wave DFT calculation with PBE-GGA was carried out for a relaxed structure of PuNpRh2.

Structure (POSCAR):
```
PuNpRh2
1.0
-1.8535 6.4285 -1.0518
-2.3755 -1.6819 -6.0935
-7.5264 -1.6170 3.3804
Pu Np Rh
4 4 8
direct
0.0000 0.2500 0.7440 Pu
0.5000 0.7500 0.2342 Pu
0.0000 0.7500 0.2560 Pu
0.5000 0.2500 0.7658 Pu
0.5000 0.7500 0.7206 Np
0.5000 0.2500 0.2794 Np
0.0000 0.2500 0.3006 Np
0.0000 0.7500 0.6994 Np
0.0000 0.0000 0.0000 Rh
0.5000 0.5000 0.5000 Rh
0.2914 0.7500 0.9496 Rh
0.7086 0.2500 0.0504 Rh
0.7086 0.7500 0.9496 Rh
0.2914 0.2500 0.0504 Rh
0.0000 0.5000 0.0000 Rh
0.5000 0.0000 0.5000 Rh
```

* VASP energy: -162.8 eV/cell
* total moment: 2.2 μB/f.u.
* distance to the lowest polymorph of the same formula: 0.647 eV/atom
* energy of formation: 320 meV per atom

---

A plane-wave DFT calculation with PBE-GGA was carried out for a relaxed structure of Pu3NpRh3.

Structure (POSCAR):
```
Pu3NpRh3
1.0
-5.0704 0.4807 3.9047
-1.9137 -5.6991 -2.2463
3.6169 -3.2239 5.0949
Pu Np Rh
6 2 6
direct
0.3154 0.3154 0.4999 Pu
0.1973 0.8027 0.5000 Pu
0.8027 0.1973 0.5000 Pu
0.3108 0.6892 0.0000 Pu
0.6892 0.3108 0.0000 Pu
0.6846 0.6846 0.5001 Pu
0.2779 0.2778 0.0000 Np
0.7221 0.7222 0.0000 Np
0.0001 0.0001 0.8007 Rh
0.5000 0.0000 0.2502 Rh
0.0000 0.5000 0.2502 Rh
0.5000 0.0000 0.7498 Rh
0.0000 0.5000 0.7498 Rh
0.9999 0.9999 0.1993 Rh
```

* VASP energy: -158.7 eV/cell
* total moment: 8.8 μB/f.u.
* energy of formation: -197 meV per atom

---

A plane-wave DFT calculation with PBE-GGA was carried out for a relaxed structure of PuNpRuRh.

Structure (POSCAR):
```
PuNpRuRh
1.0
-1.1737 3.1880 -3.0289
-4.3094 1.4466 -0.2270
-1.0700 4.1935 1.4088
Np Ru Rh Pu
1 1 1 1
direct
0.2500 0.2500 0.2500 Np
0.5000 0.5000 0.5000 Ru
0.7500 0.7500 0.7500 Rh
0.0000 0.0000 0.0000 Pu
```

* VASP energy: -44.7 eV/cell
* total moment: 2.1 μB/f.u.
* energy of formation: -204 meV per atom

---

A plane-wave DFT calculation with PBE-GGA was carried out for a relaxed structure of PuNpZnRh.

Structure (POSCAR):
```
PuNpZnRh
1.0
4.7110 0.0000 0.0000
2.3555 4.0798 0.0000
2.3555 1.3599 3.8465
Np Zn Rh Pu
1 1 1 1
direct
0.0000 0.0000 0.0000 Np
0.5000 0.5000 0.5000 Zn
0.7500 0.7500 0.7500 Rh
0.2500 0.2500 0.2500 Pu
```

* VASP energy: -36.7 eV/cell
* total moment: 8.3 μB/f.u.
* energy of formation: -195 meV per atom

---

A plane-wave DFT calculation with PBE-GGA was carried out for a relaxed structure of PuNpRu.

Structure (POSCAR):
```
PuNpRu
1.0
2.9322 0.0000 0.0000
0.0000 4.5622 0.0000
0.0000 -2.2811 3.9509
Np Ru Pu
1 1 1
direct
0.9460 0.0000 0.0000 Np
0.3257 0.3333 0.6667 Ru
0.7283 0.6667 0.3333 Pu
```

* VASP energy: -36.6 eV/cell
* total moment: 2.1 μB/f.u.
* distance to the lowest polymorph of the same formula: 0.000 eV/atom
* energy of formation: -28 meV per atom

---

A plane-wave DFT calculation with PBE-GGA was carried out for a relaxed structure of PuNp2Ru.

Structure (POSCAR):
```
PuNp2Ru
1.0
-1.8733 2.3276 1.6170
-2.9149 1.0835 -1.3678
-5.1282 -4.0695 3.4859
Np Ru Pu
2 1 1
direct
0.7399 0.7399 0.7803 Np
0.2601 0.2601 0.2197 Np
0.5000 0.5000 0.5000 Ru
0.0000 0.0000 0.0000 Pu
```

* VASP energy: -48.1 eV/cell
* total moment: 0.0 μB/f.u.
* energy of formation: 341 meV per atom

---

A plane-wave DFT calculation with PBE-GGA was carried out for a relaxed structure of PuNpRu4.

Structure (POSCAR):
```
PuNpRu4
1.0
5.3000 0.0000 0.0000
2.6500 4.5900 0.0000
2.6500 1.5300 4.3275
Np Ru Pu
1 4 1
direct
0.2500 0.2500 0.2500 Np
0.6249 0.6249 0.1252 Ru
0.6249 0.1252 0.6249 Ru
0.6249 0.6249 0.6249 Ru
0.1252 0.6249 0.6249 Ru
0.0000 0.0000 0.0000 Pu
```

* VASP energy: -64.7 eV/cell
* total moment: 7.0 μB/f.u.
* energy of formation: -56 meV per atom

---

A plane-wave DFT calculation with PBE-GGA was carried out for a relaxed structure of Pu6NpRu5.

Structure (POSCAR):
```
Pu6NpRu5
1.0
-3.5151 -2.2291 1.5157
4.0115 -3.2265 4.5565
-1.5429 8.1706 1.9562
Np Ru Pu
1 5 6
direct
0.0000 0.0000 0.0000 Np
0.3262 0.8264 0.6527 Ru
0.6712 0.6715 0.3429 Ru
0.0000 0.5000 0.0000 Ru
0.3288 0.3285 0.6571 Ru
0.6738 0.1736 0.3473 Ru
0.1648 0.4173 0.3297 Pu
0.1648 0.9123 0.3297 Pu
0.5000 0.2460 0.0000 Pu
0.5000 0.7540 0.0000 Pu
0.8352 0.0877 0.6703 Pu
0.8352 0.5827 0.6703 Pu
```

* VASP energy: -145.8 eV/cell
* total moment: 7.0 μB/f.u.
* energy of formation: -41 meV per atom

---

A plane-wave DFT calculation with PBE-GGA was carried out for a relaxed structure of PuNpRu.

Structure (POSCAR):
```
PuNpRu
1.0
3.1969 0.0000 0.0000
-1.5985 5.4467 0.1039
0.0000 -1.8755 6.6053
Ru Pu Np
2 2 2
direct
0.3897 0.7795 0.3248 Ru
0.6103 0.2205 0.6752 Ru
0.6496 0.2992 0.2923 Pu
0.3504 0.7008 0.7077 Pu
0.8895 0.7790 0.0189 Np
0.1105 0.2210 0.9811 Np
```

* VASP energy: -72.6 eV/cell
* total moment: 3.3 μB/f.u.
* distance to the lowest polymorph of the same formula: 0.109 eV/atom
* energy of formation: 80 meV per atom

---

A plane-wave DFT calculation with PBE-GGA was carried out for a relaxed structure of PuNpRu.

Structure (POSCAR):
```
PuNpRu
1.0
3.4006 0.0000 0.0000
0.0000 3.4006 0.0000
-1.7003 -1.7003 4.9863
Np Ru Pu
1 1 1
direct
0.0064 0.0064 0.0128 Np
0.6597 0.6597 0.3194 Ru
0.3339 0.3339 0.6679 Pu
```

* VASP energy: -36.5 eV/cell
* total moment: 7.4 μB/f.u.
* distance to the lowest polymorph of the same formula: 0.049 eV/atom
* energy of formation: 21 meV per atom

---

A plane-wave DFT calculation with PBE-GGA was carried out for a relaxed structure of PuNpRu.

Structure (POSCAR):
```
PuNpRu
1.0
-0.6484 -2.2118 -3.6199
3.3236 -1.7584 -2.0647
0.4982 -4.2605 -0.0297
Pu Np Ru
1 1 1
direct
0.2499 0.2501 0.2501 Pu
0.0001 0.9999 0.9999 Np
0.7499 0.7501 0.7501 Ru
```

* VASP energy: -35.9 eV/cell
* total moment: 1.7 μB/f.u.
* distance to the lowest polymorph of the same formula: 0.229 eV/atom
* energy of formation: 201 meV per atom

---

A plane-wave DFT calculation with PBE-GGA was carried out for a relaxed structure of PuNpRu.

Structure (POSCAR):
```
PuNpRu
1.0
-3.7298 -0.0032 2.8690
-1.9488 -1.1521 -2.5560
2.6545 -6.4255 3.1495
Pu Np Ru
2 2 2
direct
0.7711 0.1000 0.6998 Pu
0.2289 0.9000 0.3002 Pu
0.3286 0.7267 0.9553 Np
0.6714 0.2733 0.0447 Np
0.7427 0.4388 0.3772 Ru
0.2573 0.5612 0.6228 Ru
```

* VASP energy: -73.2 eV/cell
* total moment: 3.7 μB/f.u.
* distance to the lowest polymorph of the same formula: 0.013 eV/atom
* energy of formation: -16 meV per atom

---

A plane-wave DFT calculation with PBE-GGA was carried out for a relaxed structure of PuNpS3.

Structure (POSCAR):
```
PuNpS3
1.0
3.9334 0.0000 0.0000
0.0000 7.3247 0.0000
0.0000 0.0000 14.8702
Pu Np S
4 4 12
direct
0.7500 0.8803 0.7885 Pu
0.2500 0.1197 0.2115 Pu
0.7500 0.3803 0.7115 Pu
0.2500 0.6197 0.2885 Pu
0.2500 0.2585 0.9596 Np
0.2500 0.7585 0.5404 Np
0.7500 0.2415 0.4596 Np
0.7500 0.7415 0.0404 Np
0.2500 0.3729 0.5692 S
0.7500 0.8402 0.2198 S
0.7500 0.4901 0.8964 S
0.7500 0.9901 0.6036 S
0.7500 0.6271 0.4308 S
0.2500 0.0099 0.3964 S
0.2500 0.8729 0.9308 S
0.7500 0.3402 0.2802 S
0.2500 0.6598 0.7198 S
0.2500 0.1598 0.7802 S
0.7500 0.1271 0.0692 S
0.2500 0.5099 0.1036 S
```

* VASP energy: -190.8 eV/cell
* total moment: 9.0 μB/f.u.
* distance to the lowest polymorph of the same formula: 0.000 eV/atom

---

A plane-wave DFT calculation with PBE-GGA was carried out for a relaxed structure of Pu2NpS4.

Structure (POSCAR):
```
Pu2NpS4
1.0
-1.1536 0.1554 -3.9349
-3.7750 -5.8754 0.8747
-9.0802 6.2673 2.9097
Pu Np S
4 2 8
direct
0.5000 0.9094 0.8160 Pu
0.5000 0.0906 0.1840 Pu
0.5000 0.4094 0.6840 Pu
0.5000 0.5906 0.3160 Pu
0.0000 0.0000 0.5000 Np
0.0000 0.5000 0.0000 Np
0.0000 0.6397 0.7790 S
0.0000 0.3603 0.2210 S
0.0000 0.1397 0.7210 S
0.0000 0.8603 0.2790 S
0.5000 0.7514 0.5467 S
0.5000 0.2486 0.4533 S
0.5000 0.7486 0.0467 S
0.5000 0.2514 0.9533 S
```

* VASP energy: -137.6 eV/cell
* total moment: 7.3 μB/f.u.
* distance to the lowest polymorph of the same formula: 0.079 eV/atom